Record 1
Below is a relaxed Li13Sb2 crystal, with properties calculated at the PBE-GGA level.

Results
- Formation energy without anion corrections: -0.0731 eV per atom
- D(E_F): 0.38 states/eV/atom
- Total DFT energy (no corrections): -34.22 eV/cell
- SG: R-3m, No. 166

```
Li13Sb2
1.0
-5.612 5.099 -3.726
-7.861 -2.726 -1.467
-5.953 2.537 2.860
Li Sb
13 2
Cartesian
-7.011 2.286 0.937 Li
-8.728 4.385 -0.010 Li
-8.662 -0.786 -0.778 Li
-12.269 0.462 -0.044 Li
-10.699 0.525 -2.324 Li
-11.967 3.262 -0.614 Li
-9.713 2.455 -1.167 Li
-9.655 1.162 0.921 Li
-7.460 1.648 -1.720 Li
-10.765 5.696 -1.555 Li
-12.416 2.624 -3.271 Li
-9.772 3.748 -3.255 Li
-7.158 4.447 -2.290 Li
-4.775 1.130 -0.839 Sb
-14.652 3.780 -1.494 Sb
```


Record 2
Below is a relaxed SmHoHgAu crystal, with properties calculated at the PBE-GGA level.

Results
- D(E_F): 0.82 states/eV/atom
- Total DFT energy (no corrections): -15.43 eV/cell
- SG: F-43m, No. 216
- Formation energy: -0.638 eV/atom

```
SmHoHgAu
1.0
5.218 0.000 0.000
2.609 4.519 0.000
2.609 1.506 4.261
Hg Ho Au Sm
1 1 1 1
Cartesian
5.218 3.013 2.130 Hg
7.828 4.519 3.196 Ho
0.000 0.000 0.000 Au
2.609 1.506 1.065 Sm
```


Record 3
Below is a relaxed Be2V2Ga crystal, with properties calculated at the PBE-GGA level.

Results
- D(E_F): 0.68 states/eV/atom
- Total DFT energy (no corrections): -58.68 eV/cell
- SG: P4/mbm, No. 127
- Formation energy: -0.125 eV/atom

```
Be2V2Ga
1.0
5.876 0.000 0.000
0.000 5.876 0.000
0.000 0.000 3.310
V Ga Be
4 2 4
Cartesian
3.963 4.850 1.655 V
1.025 3.963 1.655 V
1.913 1.025 1.655 V
4.850 1.913 1.655 V
0.000 0.000 0.000 Ga
2.938 2.938 0.000 Ga
5.169 3.644 0.000 Be
3.644 0.706 0.000 Be
2.232 5.169 0.000 Be
0.706 2.232 0.000 Be
```


Record 4
Below is a relaxed KBe4Tc3O12 crystal, with properties calculated at the PBE-GGA level.

Results
- Formation energy without anion corrections: -1.7870 eV per atom
- D(E_F): 0.39 states/eV/atom
- Total DFT energy (no corrections): -142.34 eV/cell
- SG: R32, No. 155

```
KBe4Tc3O12
1.0
-4.463 2.320 3.949
-0.735 -6.350 0.180
5.576 1.129 2.920
K Be O Tc
1 4 12 3
Cartesian
0.000 0.000 0.000 K
-2.591 -4.746 2.317 Be
4.612 -1.975 3.071 Be
-1.454 2.369 5.185 Be
0.189 -1.451 3.524 Be
-3.116 -3.333 2.644 O
2.752 1.587 4.637 O
1.704 -4.972 1.994 O
-1.071 -4.978 2.423 O
-2.346 1.125 5.003 O
4.023 -0.796 3.871 O
0.027 2.246 4.772 O
1.163 -0.296 3.947 O
-3.888 -0.967 3.942 O
-1.360 -1.267 3.683 O
0.765 -2.788 2.943 O
3.618 -2.966 2.434 O
1.118 1.658 3.377 Tc
-2.808 -1.530 2.275 Tc
2.068 -3.029 1.397 Tc
```


Record 5
Below is a relaxed BaNaRh2 crystal, with properties calculated at the PBE-GGA level.

Results
- D(E_F): 0.74 states/eV/atom
- Total DFT energy (no corrections): -32.78 eV/cell
- SG: I-42d, No. 122
- Formation energy: 0.389 eV/atom

```
BaNaRh2
1.0
4.730 0.000 0.000
0.000 4.730 0.000
2.365 2.365 9.627
Ba Rh Na
2 4 2
Cartesian
0.000 0.000 0.000 Ba
4.730 2.365 4.813 Ba
1.945 3.548 2.407 Rh
3.548 4.310 7.220 Rh
2.785 1.183 2.407 Rh
5.913 5.150 7.220 Rh
2.365 4.730 4.813 Na
2.365 2.365 0.000 Na
```


Record 6
Below is a relaxed LaZrCu crystal, with properties calculated at the PBE-GGA level.

Results
- D(E_F): 0.93 states/eV/atom
- Total DFT energy (no corrections): -69.49 eV/cell
- SG: C2/m, No. 12
- Formation energy: 0.067 eV/atom

```
LaZrCu
1.0
-1.479 4.396 0.314
-1.752 -1.131 7.577
8.280 0.234 1.321
Cu La Zr
4 4 4
Cartesian
0.954 2.635 2.008 Cu
4.095 0.862 7.204 Cu
4.569 1.197 4.761 Cu
0.481 2.301 4.452 Cu
0.024 -0.184 2.680 La
6.016 1.851 2.421 La
-0.967 1.647 6.791 La
5.025 3.681 6.532 La
2.046 2.575 7.984 Zr
2.960 3.194 3.638 Zr
3.004 0.923 1.228 Zr
2.089 0.304 5.575 Zr
```


Record 7
Below is a relaxed TcGeSb3 crystal, with properties calculated at the PBE-GGA level.

Results
- Formation energy without anion corrections: 1.3154 eV per atom
- D(E_F): 0.83 states/eV/atom
- Total DFT energy (no corrections): -20.77 eV/cell
- SG: Pm-3m, No. 221

```
TcGeSb3
1.0
-3.258 -2.864 2.966
4.093 -1.786 2.770
-0.502 4.028 3.338
Tc Sb Ge
1 3 1
Cartesian
0.166 -0.311 4.537 Tc
-1.629 -1.432 1.483 Sb
2.046 -0.893 1.385 Sb
-0.251 2.014 1.669 Sb
0.000 0.000 0.000 Ge
```


Record 8
Below is a relaxed Th2Be4Pt3Au crystal, with properties calculated at the PBE-GGA level.

Results
- D(E_F): 0.59 states/eV/atom
- Total DFT energy (no corrections): -58.55 eV/cell
- SG: P-4m2, No. 115
- Formation energy: -0.741 eV/atom

```
Th2Be4Pt3Au
1.0
4.159 0.000 0.000
0.000 4.159 0.000
0.000 0.000 9.562
Th Pt Be Au
2 3 4 1
Cartesian
0.000 2.079 7.274 Th
2.079 0.000 2.288 Th
0.000 0.000 4.781 Pt
0.000 2.079 1.171 Pt
2.079 0.000 8.392 Pt
2.079 0.000 6.007 Be
2.079 2.079 0.000 Be
0.000 2.079 3.555 Be
0.000 0.000 0.000 Be
2.079 2.079 4.781 Au
```


Record 9
Below is a relaxed NdAlCd crystal, with properties calculated at the PBE-GGA level.

Results
- D(E_F): 0.68 states/eV/atom
- Total DFT energy (no corrections): -21.22 eV/cell
- SG: C2/m, No. 12
- Formation energy: -0.395 eV/atom

```
NdAlCd
1.0
1.455 0.636 4.495
0.524 -5.233 3.099
5.973 -0.540 0.671
Cd Al Nd
2 2 2
Cartesian
2.023 -0.715 4.502 Cd
5.929 -4.423 3.763 Cd
2.259 -2.053 2.087 Al
5.693 -3.084 6.178 Al
2.771 -3.963 4.720 Nd
5.181 -1.174 3.545 Nd
```


Record 10
Below is a relaxed KVCd crystal, with properties calculated at the PBE-GGA level.

Results
- D(E_F): 0.72 states/eV/atom
- Total DFT energy (no corrections): -19.80 eV/cell
- SG: P1, No. 1
- Formation energy: 0.410 eV/atom

```
KVCd
1.0
-2.135 -5.266 -10.829
3.131 -0.415 -0.085
-0.500 -4.216 2.161
K V Cd
2 2 2
Cartesian
-1.983 -7.586 -7.225 K
0.428 -1.987 -0.935 K
-0.232 -5.501 -2.754 V
-1.324 -6.127 -4.226 V
0.285 -4.622 -6.169 Cd
1.661 -3.547 -3.756 Cd
```


Record 11
Below is a relaxed Y3Bi2Te crystal, with properties calculated at the PBE-GGA level.

Results
- Formation energy without anion corrections: -1.0618 eV per atom
- D(E_F): 0.32 states/eV/atom
- Total DFT energy (no corrections): -36.67 eV/cell
- SG: Immm, No. 71

```
Y3Bi2Te
1.0
-4.060 1.028 -1.518
-2.457 -4.704 3.383
2.390 5.978 4.193
Y Bi Te
3 2 1
Cartesian
-3.802 0.274 0.547 Y
-0.835 3.503 1.337 Y
-0.325 2.028 5.511 Y
-5.033 -2.064 2.256 Bi
0.906 4.366 3.802 Bi
-2.063 1.151 3.029 Te
```


Record 12
Below is a relaxed RbScC crystal, with properties calculated at the PBE-GGA level.

Results
- D(E_F): 0.31 states/eV/atom
- Total DFT energy (no corrections): -31.88 eV/cell
- SG: P2_1/m, No. 11
- Formation energy: 0.194 eV/atom

```
RbScC
1.0
4.262 0.000 -0.001
0.000 4.262 0.000
-0.035 0.000 10.703
Sc C Rb
2 2 2
Cartesian
3.196 3.197 -0.001 Sc
1.031 1.066 10.703 Sc
3.162 1.066 9.870 C
1.065 3.197 0.832 C
1.023 3.197 7.759 Rb
3.204 1.066 2.943 Rb
```